Record 1
A plane-wave DFT calculation with PBE-GGA was carried out for crystalline Ni3AgI at its relaxed geometry.

```
data_Ni3AgI
_chemical_formula_sum 'Ni3 Ag1 I1'
_cell_length_a 4.617
_cell_length_b 4.617
_cell_length_c 4.617
_cell_angle_alpha 90.00
_cell_angle_beta 90.00
_cell_angle_gamma 90.00
_space_group_name_H-M_alt 'P m -3 m'
_space_group_IT_number 221
_space_group_name_Hall '-P 4 2 3'
loop_
_atom_site_label
_atom_site_type_symbol
_atom_site_fract_x
_atom_site_fract_y
_atom_site_fract_z
_atom_site_occupancy
Ni1 Ni 0.000 0.000 0.500 1
Ag1 Ag 0.500 0.500 0.500 1
I1 I 0.000 0.000 0.000 1
```

Results
uncorrected formation energy: 4.80 eV per formula unit
volume: 19.689 Å³/atom
calculated total energy: -0.24903 Ry/atom

***

Record 2
A plane-wave DFT calculation with PBE-GGA was carried out for crystalline NaTa3F at its relaxed geometry.

```
data_NaTa3F
_chemical_formula_sum 'Na1 Ta3 F1'
_cell_length_a 4.416
_cell_length_b 4.416
_cell_length_c 4.416
_cell_angle_alpha 90.00
_cell_angle_beta 90.00
_cell_angle_gamma 90.00
_space_group_name_H-M_alt 'P m -3 m'
_space_group_IT_number 221
_space_group_name_Hall '-P 4 2 3'
loop_
_atom_site_label
_atom_site_type_symbol
_atom_site_fract_x
_atom_site_fract_y
_atom_site_fract_z
_atom_site_occupancy
Na1 Na 0.000 0.000 0.000 1
Ta1 Ta 0.000 0.500 0.500 1
F1 F 0.500 0.500 0.500 1
```

Results
uncorrected formation energy: 3.38 eV per formula unit
volume: 17.222 Å³/atom
calculated total energy: -0.51997 Ry/atom

***

Record 3
A plane-wave DFT calculation with PBE-GGA was carried out for crystalline Mn2NbFe2 at its relaxed geometry.

```
data_Mn2NbFe2
_chemical_formula_sum 'Mn4 Nb2 Fe4'
_cell_length_a 6.901
_cell_length_b 6.901
_cell_length_c 2.542
_cell_angle_alpha 90.00
_cell_angle_beta 90.00
_cell_angle_gamma 90.00
_space_group_name_H-M_alt 'P 4/m b m'
_space_group_IT_number 127
_space_group_name_Hall '-P 4 2ab'
loop_
_atom_site_label
_atom_site_type_symbol
_atom_site_fract_x
_atom_site_fract_y
_atom_site_fract_z
_atom_site_occupancy
Mn1 Mn 0.169 0.331 0.000 1
Nb1 Nb 0.000 0.000 0.500 1
Fe1 Fe 0.123 0.623 0.500 1
```

Results
ΔE_f: 0.50 eV per formula unit
volume: 12.106 Å³/atom
calculated total energy: -0.65911 Ry/atom

***

Record 4
A plane-wave DFT calculation with PBE-GGA was carried out for crystalline TaCrCu2 at its relaxed geometry.

```
data_TaCrCu2
_chemical_formula_sum 'Ta4 Cr4 Cu8'
_cell_length_a 6.115
_cell_length_b 6.115
_cell_length_c 6.115
_cell_angle_alpha 90.00
_cell_angle_beta 90.00
_cell_angle_gamma 90.00
_space_group_name_H-M_alt 'F m -3 m'
_space_group_IT_number 225
_space_group_name_Hall '-F 4 2 3'
loop_
_atom_site_label
_atom_site_type_symbol
_atom_site_fract_x
_atom_site_fract_y
_atom_site_fract_z
_atom_site_occupancy
Ta1 Ta 0.000 0.000 0.000 1
Cr1 Cr 0.000 0.000 0.500 1
Cu1 Cu 0.250 0.250 0.250 1
```

Results
ΔE_f: 1.28 eV per formula unit
volume: 14.292 Å³/atom
calculated total energy: -0.52172 Ry/atom

***

Record 5
A plane-wave DFT calculation with PBE-GGA was carried out for crystalline Pr2NiAg at its relaxed geometry.

```
data_Pr2NiAg
_chemical_formula_sum 'Pr2 Ni1 Ag1'
_cell_length_a 3.616
_cell_length_b 3.616
_cell_length_c 7.484
_cell_angle_alpha 90.00
_cell_angle_beta 90.00
_cell_angle_gamma 90.00
_space_group_name_H-M_alt 'P 4/m m m'
_space_group_IT_number 123
_space_group_name_Hall '-P 4 2'
loop_
_atom_site_label
_atom_site_type_symbol
_atom_site_fract_x
_atom_site_fract_y
_atom_site_fract_z
_atom_site_occupancy
Pr1 Pr 0.000 0.000 0.226 1
Ni1 Ni 0.500 0.500 0.000 1
Ag1 Ag 0.500 0.500 0.500 1
```

Results
ΔE_f: -0.87 eV per formula unit
volume: 24.464 Å³/atom
calculated total energy: -0.35031 Ry/atom

***

Record 6
A plane-wave DFT calculation with PBE-GGA was carried out for crystalline Cd2AgHg at its relaxed geometry.

```
data_Cd2AgHg
_chemical_formula_sum 'Cd2 Ag1 Hg1'
_cell_length_a 4.379
_cell_length_b 4.391
_cell_length_c 5.239
_cell_angle_alpha 67.14
_cell_angle_beta 67.10
_cell_angle_gamma 87.64
_space_group_name_H-M_alt 'P 1'
_space_group_IT_number 1
loop_
_space_group_symop_operation_xyz
'x,y,z'
loop_
_atom_site_label
_atom_site_type_symbol
_atom_site_fract_x
_atom_site_fract_y
_atom_site_fract_z
_atom_site_occupancy
Cd1 Cd 0.000 0.000 0.000 1
Cd2 Cd 0.252 0.747 0.500 1
Ag1 Ag 0.498 0.500 0.000 1
Hg1 Hg 0.749 0.251 0.500 1
```

Results
ΔE_f: 0.08 eV per formula unit
volume: 21.198 Å³/atom
calculated total energy: -0.09011 Ry/atom